[1]
Ta2TlRe: optimized geometry, GGA-PBEsol. Values from VASP.

Values from the calculation:
total energy	-39.8	eV for the cell shown

Structure (Quantum ESPRESSO input):
```
&SYSTEM
  ibrav = 0, nat = 4, ntyp = 3
/
ATOMIC_SPECIES
Ta 180.95 Ta.upf
Tl 204.38 Tl.upf
Re 186.21 Re.upf
CELL_PARAMETERS angstrom
2.868 -3.891 0.000
2.868 3.891 0.000
0.000 0.000 3.125
ATOMIC_POSITIONS crystal
Ta 0.000 0.500 0.000
Ta 0.500 0.000 0.000
Tl 0.000 0.000 0.500
Re 0.500 0.500 0.500
```

[2]
SrInCl4: optimized geometry, GGA-PBEsol. Values from VASP.

Values from the calculation:
uncorrected formation energy	-0.7143	eV per atom
total energy	-17.1	eV for the cell shown

Structure (Quantum ESPRESSO input):
```
&SYSTEM
  ibrav = 0, nat = 6, ntyp = 3
/
ATOMIC_SPECIES
Sr 87.62 Sr.upf
In 114.82 In.upf
Cl 35.45 Cl.upf
CELL_PARAMETERS angstrom
0.000 4.228 4.228
4.228 0.000 4.228
4.228 4.228 0.000
ATOMIC_POSITIONS crystal
Sr 0.000 0.000 0.000
In 0.750 0.750 0.750
Cl 0.375 0.375 0.375
Cl 0.375 0.375 0.876
Cl 0.375 0.876 0.375
Cl 0.876 0.375 0.375
```

[3]
CaZnRe2: optimized geometry, GGA-PBEsol. Values from VASP.

Values from the calculation:
total energy	-28.7	eV for the cell shown

Structure (Quantum ESPRESSO input):
```
&SYSTEM
  ibrav = 0, nat = 4, ntyp = 3
/
ATOMIC_SPECIES
Ca 40.08 Ca.upf
Zn 65.41 Zn.upf
Re 186.21 Re.upf
CELL_PARAMETERS angstrom
-2.176 2.317 3.215
2.176 -2.317 3.215
2.176 2.317 -3.215
ATOMIC_POSITIONS crystal
Ca 0.000 0.000 0.000
Zn 0.260 0.760 0.500
Re 0.514 0.514 0.000
Re 0.732 0.232 0.500
```

[4]
LiRhSCl2: optimized geometry, GGA-PBEsol. Values from VASP.

Values from the calculation:
uncorrected formation energy	-0.0420	eV per atom
total energy	-18.7	eV for the cell shown

Structure (Quantum ESPRESSO input):
```
&SYSTEM
  ibrav = 0, nat = 5, ntyp = 4
/
ATOMIC_SPECIES
Li 6.94 Li.upf
Rh 102.91 Rh.upf
S 32.06 S.upf
Cl 35.45 Cl.upf
CELL_PARAMETERS angstrom
5.257 0.000 0.000
0.000 5.257 0.000
0.000 0.000 4.212
ATOMIC_POSITIONS crystal
Li 0.000 0.000 0.000
Rh 0.500 0.500 0.000
S 0.500 0.500 0.500
Cl 0.000 0.500 0.500
Cl 0.500 0.000 0.500
```

[5]
Tb5Tl3: optimized geometry, GGA-PBEsol. Values from VASP.

Values from the calculation:
energy above the lowest structure with this stoichiometry	0.0	kJ per mole of atoms
total energy	-71.5	eV for the cell shown

Structure (Quantum ESPRESSO input):
```
&SYSTEM
  ibrav = 0, nat = 16, ntyp = 2
/
ATOMIC_SPECIES
Tb 158.93 Tb.upf
Tl 204.38 Tl.upf
CELL_PARAMETERS angstrom
8.932 0.000 0.000
-4.466 7.735 0.000
0.000 0.000 6.505
ATOMIC_POSITIONS crystal
Tb 0.000 0.235 0.250
Tb 0.000 0.765 0.750
Tb 0.235 0.000 0.250
Tb 0.235 0.235 0.750
Tb 0.333 0.667 0.000
Tb 0.333 0.667 0.500
Tb 0.667 0.333 0.000
Tb 0.667 0.333 0.500
Tb 0.765 0.000 0.750
Tb 0.765 0.765 0.250
Tl 0.000 0.402 0.750
Tl 0.000 0.598 0.250
Tl 0.402 0.000 0.750
Tl 0.402 0.402 0.250
Tl 0.598 0.000 0.250
Tl 0.598 0.598 0.750
```

[6]
Zn2AgIr: optimized geometry, GGA-PBEsol. Values from VASP.

Values from the calculation:
total energy	-16.7	eV for the cell shown

Structure (Quantum ESPRESSO input):
```
&SYSTEM
  ibrav = 0, nat = 4, ntyp = 3
/
ATOMIC_SPECIES
Zn 65.41 Zn.upf
Ag 107.87 Ag.upf
Ir 192.22 Ir.upf
CELL_PARAMETERS angstrom
1.399 0.808 8.505
-1.399 0.808 8.505
0.000 -1.616 8.505
ATOMIC_POSITIONS crystal
Zn 0.247 0.247 0.247
Zn 0.753 0.753 0.753
Ag 0.000 0.000 0.000
Ir 0.500 0.500 0.500
```

[7]
Ba2NaCdH: optimized geometry, GGA-PBEsol. Values from VASP.

Values from the calculation:
total energy	-8.4	eV for the cell shown

Structure (Quantum ESPRESSO input):
```
&SYSTEM
  ibrav = 0, nat = 5, ntyp = 4
/
ATOMIC_SPECIES
Ba 137.33 Ba.upf
Na 22.99 Na.upf
Cd 112.41 Cd.upf
H 1.01 H.upf
CELL_PARAMETERS angstrom
6.494 0.000 0.000
0.000 6.494 0.000
0.000 0.000 5.532
ATOMIC_POSITIONS crystal
Ba 0.000 0.500 0.000
Ba 0.500 0.000 0.000
Na 0.000 0.000 0.500
Cd 0.000 0.000 0.000
H 0.500 0.500 0.500
```

[8]
CoHg4W: optimized geometry, GGA-PBEsol. Values from VASP.

Values from the calculation:
total energy	-16.6	eV for the cell shown

Structure (Quantum ESPRESSO input):
```
&SYSTEM
  ibrav = 0, nat = 6, ntyp = 3
/
ATOMIC_SPECIES
Co 58.93 Co.upf
Hg 200.59 Hg.upf
W 183.84 W.upf
CELL_PARAMETERS angstrom
0.000 3.869 3.869
3.869 0.000 3.869
3.869 3.869 0.000
ATOMIC_POSITIONS crystal
Co 0.000 0.000 0.000
Hg 0.375 0.375 0.375
Hg 0.375 0.375 0.875
Hg 0.375 0.875 0.375
Hg 0.875 0.375 0.375
W 0.750 0.750 0.750
```